Entry 1:
Y6Sb2C | GGA-PBE | relaxed

```
Y6Sb2C
1.0
6.4460 0.0000 0.0000
0.0000 7.8730 0.0000
-6.1459 0.0000 9.6394
Y Sb C
12 4 2
Direct
0.1315 0.1631 0.4574 Y
0.1315 0.3369 0.9574 Y
0.3148 0.7097 0.4545 Y
0.3148 0.7903 0.9545 Y
0.3600 0.0259 0.2512 Y
0.3600 0.4741 0.7512 Y
0.6400 0.5259 0.2488 Y
0.6400 0.9741 0.7488 Y
0.6852 0.2097 0.0455 Y
0.6852 0.2903 0.5455 Y
0.8685 0.6631 0.0426 Y
0.8685 0.8369 0.5426 Y
0.1833 0.1078 0.7567 Sb
0.1833 0.3922 0.2567 Sb
0.8167 0.6078 0.7433 Sb
0.8167 0.8922 0.2433 Sb
0.5000 0.0000 0.5000 C
0.5000 0.5000 0.0000 C
```

ΔE_f (raw) ... -0.6380 eV per atom

Entry 2:
YSbC2 | GGA-PBE | relaxed

```
YSbC2
1.0
-2.9315 2.9315 3.9145
2.9315 -2.9315 3.9145
2.9315 2.9315 -3.9145
Y Sb C
2 2 4
Direct
0.0000 0.0000 0.0000 Y
0.7500 0.2500 0.5000 Y
0.2500 0.7500 0.5000 Sb
0.5000 0.5000 0.0000 Sb
0.1661 0.1250 0.5411 C
0.3750 0.8339 0.9589 C
0.5839 0.6250 0.4589 C
0.8750 0.4161 0.0411 C
```

ΔE_f (raw) ... 0.5407 eV per atom

Entry 3:
Y3SbC | GGA-PBE | relaxed

```
Y3SbC
1.0
-3.0665 3.0665 7.2324
3.0665 -3.0665 7.2324
3.0665 3.0665 -7.2324
Y Sb C
6 2 2
Direct
0.1926 0.1926 0.0000 Y
0.3430 0.6044 0.7386 Y
0.3956 0.1343 0.7386 Y
0.3956 0.6570 0.2614 Y
0.8074 0.8074 0.0000 Y
0.8657 0.6044 0.2614 Y
0.6178 0.1178 0.5000 Sb
0.8822 0.3822 0.5000 Sb
0.2500 0.7500 0.5000 C
0.5000 0.5000 0.0000 C
```

ΔE_f (raw) ... 0.0584 eV per atom

Entry 4:
Y3SbC | GGA-PBE | relaxed

```
Y3SbC
1.0
3.5132 0.0000 0.0000
0.0000 3.4260 7.7366
0.0000 -3.4260 7.7366
Y Sb C
3 1 1
Direct
0.0000 0.0000 0.0000 Y
0.5000 0.0620 0.5898 Y
0.5000 0.5898 0.0620 Y
0.5000 0.1668 0.1668 Sb
0.0000 0.8491 0.8491 C
```

ΔE_f (raw) ... 0.0020 eV per atom

Entry 5:
YSb2C | GGA-PBE | relaxed

```
YSb2C
1.0
-3.4693 3.4693 3.8912
3.4693 -3.4693 3.8912
3.4693 3.4693 -3.8912
Y Sb C
2 4 2
Direct
0.0000 0.0000 0.0000 Y
0.7500 0.2500 0.5000 Y
0.2231 0.6250 0.0981 Sb
0.3750 0.4731 0.5981 Sb
0.5269 0.1250 0.9019 Sb
0.8750 0.7769 0.4019 Sb
0.2500 0.7500 0.5000 C
0.5000 0.5000 0.0000 C
```

ΔE_f (raw) ... 0.3638 eV per atom

Entry 6:
Y7Sb2C2 | GGA-PBE | relaxed

```
Y7Sb2C2
1.0
-1.7639 7.8690 4.8825
1.7639 -7.8690 4.8825
1.7639 7.8690 -4.8825
Y Sb C
7 2 2
Direct
0.0000 0.0000 0.0000 Y
0.2858 0.4225 0.8634 Y
0.3114 0.6205 0.6910 Y
0.5591 0.4225 0.1366 Y
0.6352 0.2938 0.3413 Y
0.9295 0.6205 0.3090 Y
0.9525 0.2938 0.6587 Y
0.2614 0.7614 0.5000 Sb
0.6714 0.6714 0.0000 Sb
0.1285 0.8691 0.2594 C
0.6096 0.8691 0.7406 C
```

ΔE_f (raw) ... -0.3682 eV per atom

Entry 7:
Y6Sb3C | GGA-PBE | relaxed

```
Y6Sb3C
1.0
5.9488 -7.0954 0.0000
5.9488 7.0954 0.0000
0.0000 0.0000 7.1036
Y Sb C
12 6 2
Direct
0.0447 0.9553 0.5000 Y
0.1055 0.5900 0.5032 Y
0.2251 0.7749 0.9579 Y
0.3068 0.3755 0.9730 Y
0.3755 0.3068 0.4730 Y
0.4100 0.8945 0.5032 Y
0.5900 0.1055 0.0032 Y
0.6245 0.6932 0.9730 Y
0.6932 0.6245 0.4730 Y
0.7749 0.2251 0.4579 Y
0.8945 0.4100 0.0032 Y
0.9553 0.0447 0.0000 Y
0.0740 0.2756 0.6814 Sb
0.2756 0.0740 0.1814 Sb
0.3898 0.6102 0.2724 Sb
0.6102 0.3898 0.7724 Sb
0.7244 0.9260 0.6814 Sb
0.9260 0.7244 0.1814 Sb
0.1880 0.8120 0.6438 C
0.8120 0.1880 0.1438 C
```

ΔE_f (raw) ... -0.6330 eV per atom

Entry 8:
Y3SbC | GGA-PBE | relaxed

```
Y3SbC
1.0
8.8172 0.0000 0.0000
0.0000 6.4132 0.0000
-4.1248 0.0000 8.7213
Y Sb C
12 4 4
Direct
0.0492 0.0748 0.3544 Y
0.0492 0.4252 0.8544 Y
0.1867 0.5751 0.5325 Y
0.1867 0.9249 0.0325 Y
0.3615 0.1769 0.7734 Y
0.3615 0.3231 0.2734 Y
0.6385 0.6769 0.7266 Y
0.6385 0.8231 0.2266 Y
0.8133 0.0751 0.9675 Y
0.8133 0.4249 0.4675 Y
0.9508 0.5748 0.1456 Y
0.9508 0.9252 0.6456 Y
0.3678 0.7046 0.8643 Sb
0.3678 0.7954 0.3643 Sb
0.6322 0.2046 0.6357 Sb
0.6322 0.2954 0.1357 Sb
0.0774 0.2477 0.5970 C
0.0774 0.2523 0.0970 C
0.9226 0.7477 0.9030 C
0.9226 0.7523 0.4030 C
```

ΔE_f (raw) ... -0.5634 eV per atom

Question: What is the ΔE_f (raw) in the first record?
Answer: -0.6380 eV per atom

Question: Among the records above, which one has the lowest ΔE_f (raw)?
Answer: Y6Sb2C